No. 1
Al5Ni3 (GGA-PBE, relaxed); volume = 213.11 Å³ per cell; E_form = -0.48 eV/atom; energy above the lowest structure with this stoichiometry = 0 meV per atom; raw total energy = -79.8 eV for the cell shown; total magnetic moment = 0.000 μB/atom
1.0
5.0461 0.0000 0.0000
1.8955 6.5024 0.0000
1.9510 0.0346 6.4951
Al Ni
10 6
direct
0.0401 0.1799 0.1097
0.1848 0.3370 0.7221
0.2498 0.9800 0.5212
0.3162 0.7771 0.1640
0.4595 0.3895 0.3193
0.5405 0.6105 0.6807
0.6838 0.2229 0.8360
0.7502 0.0200 0.4788
0.8152 0.6630 0.2779
0.9599 0.8201 0.8903
0.0610 0.6732 0.5386
0.2505 0.4842 0.0148
0.4374 0.9613 0.8279
0.5626 0.0387 0.1721
0.7495 0.5158 0.9852
0.9390 0.3268 0.4614

No. 2
AlNi7 (GGA-PBE, relaxed); volume = 88.64 Å³ per cell; E_form = -0.21 eV/atom; raw total energy = -45.9 eV for the cell shown; total magnetic moment = 0.371 μB/atom
1.0
-1.7715 1.7715 7.0616
1.7715 -1.7715 7.0616
1.7715 1.7715 -7.0616
Al Ni
1 7
direct
0.0000 0.0000 0.0000
0.1268 0.6268 0.5000
0.2513 0.2513 0.0000
0.3732 0.8732 0.5000
0.5000 0.5000 0.0000
0.6268 0.1268 0.5000
0.7487 0.7487 0.0000
0.8732 0.3732 0.5000

No. 3
AlNi5 (GGA-PBE, relaxed); volume = 67.33 Å³ per cell; E_form = -0.21 eV/atom; energy above the lowest structure with this stoichiometry = 68 meV per atom; raw total energy = -33.9 eV for the cell shown; total magnetic moment = 0.241 μB/atom
1.0
4.6116 -1.2951 0.0000
4.6116 1.2951 0.0000
-1.6497 0.0000 5.6365
Al Ni
1 5
direct
0.0000 0.0000 0.0000
0.2858 0.2858 0.0697
0.3340 0.3340 0.6682
0.6180 0.6180 0.7355
0.6663 0.6663 0.3332
0.9522 0.9522 0.4079

No. 4
Al6Ni7 (GGA-PBE, relaxed); volume = 165.35 Å³ per cell; E_form = -0.39 eV/atom; raw total energy = -68.0 eV for the cell shown; total magnetic moment = 0.000 μB/atom
1.0
2.4174 1.3957 8.1676
-2.4174 1.3957 8.1676
0.0000 -2.7914 8.1676
Al Ni
6 7
direct
0.0535 0.0535 0.0535
0.1599 0.1599 0.1599
0.3332 0.3332 0.3332
0.6668 0.6668 0.6668
0.8401 0.8401 0.8401
0.9465 0.9465 0.9465
0.0849 0.5859 0.5859
0.4141 0.4141 0.9151
0.4141 0.9151 0.4141
0.5000 0.5000 0.5000
0.5859 0.0849 0.5859
0.5859 0.5859 0.0849
0.9151 0.4141 0.4141

No. 5
Al3Ni (GGA-PBE, relaxed); volume = 235.36 Å³ per cell; E_form = -0.41 eV/atom; raw total energy = -74.5 eV for the cell shown; total magnetic moment = 0.000 μB/atom
1.0
6.6201 0.0000 0.0000
0.0000 7.3512 0.0000
0.0000 0.0000 4.8363
Al Ni
12 4
direct
0.0090 0.2500 0.0842
0.1717 0.0557 0.6361
0.1717 0.4443 0.6361
0.3283 0.5557 0.1361
0.3283 0.9443 0.1361
0.4910 0.7500 0.5842
0.5090 0.2500 0.4158
0.6717 0.0557 0.8639
0.6717 0.4443 0.8639
0.8283 0.5557 0.3639
0.8283 0.9443 0.3639
0.9910 0.7500 0.9158
0.1287 0.7500 0.4443
0.3713 0.2500 0.9443
0.6287 0.7500 0.0557
0.8713 0.2500 0.5557

No. 6
Al7Ni6 (GGA-PBE, relaxed); volume = 175.65 Å³ per cell; E_form = -0.11 eV/atom; raw total energy = -62.4 eV for the cell shown; total magnetic moment = 0.000 μB/atom
1.0
2.4908 1.4381 8.1731
-2.4908 1.4381 8.1731
0.0000 -2.8761 8.1731
Al Ni
7 6
direct
0.0000 0.0000 0.0000
0.0829 0.0829 0.5772
0.0829 0.5772 0.0829
0.4228 0.9171 0.9171
0.5772 0.0829 0.0829
0.9171 0.4228 0.9171
0.9171 0.9171 0.4228
0.1668 0.1668 0.1668
0.3377 0.3377 0.3377
0.4508 0.4508 0.4508
0.5492 0.5492 0.5492
0.6623 0.6623 0.6623
0.8332 0.8332 0.8332

No. 7
Al5Ni4 (GGA-PBE, relaxed); volume = 115.44 Å³ per cell; E_form = -0.36 eV/atom; energy above the lowest structure with this stoichiometry = 144 meV per atom; raw total energy = -45.1 eV for the cell shown; total magnetic moment = 0.000 μB/atom
1.0
-3.8699 3.8699 1.9271
3.8699 -3.8699 1.9271
3.8699 3.8699 -1.9271
Al Ni
5 4
direct
0.0000 0.0000 0.0000
0.3273 0.3273 0.6546
0.3273 0.6727 0.0000
0.6727 0.3273 0.0000
0.6727 0.6727 0.3454
0.0000 0.3234 0.3234
0.0000 0.6766 0.6766
0.3234 0.0000 0.3234
0.6766 0.0000 0.6766

No. 8
AlNi2 (GGA-PBE, relaxed); volume = 139.31 Å³ per cell; E_form = -0.50 eV/atom; raw total energy = -67.2 eV for the cell shown; total magnetic moment = 0.000 μB/atom
1.0
-1.7655 1.7655 11.1730
1.7655 -1.7655 11.1730
1.7655 1.7655 -11.1730
Al Ni
4 8
direct
0.2968 0.5468 0.7500
0.4532 0.7032 0.7500
0.5468 0.2968 0.2500
0.7032 0.4532 0.2500
0.0416 0.7916 0.2500
0.1240 0.3740 0.7500
0.2084 0.9584 0.2500
0.3740 0.1240 0.2500
0.6260 0.8760 0.7500
0.7916 0.0416 0.7500
0.8760 0.6260 0.2500
0.9584 0.2084 0.7500

No. 9
AlNi2 (GGA-PBE, relaxed); volume = 168.04 Å³ per cell; E_form = 0.24 eV/atom; raw total energy = -58.3 eV for the cell shown; total magnetic moment = 0.000 μB/atom
1.0
5.5183 0.0000 0.0000
0.0000 5.5183 0.0000
0.0000 0.0000 5.5183
Al Ni
4 8
direct
0.0000 0.0000 0.0000
0.0000 0.5000 0.5000
0.5000 0.0000 0.5000
0.5000 0.5000 0.0000
0.1252 0.6252 0.8748
0.1252 0.8748 0.3748
0.3748 0.1252 0.8748
0.3748 0.3748 0.3748
0.6252 0.6252 0.6252
0.6252 0.8748 0.1252
0.8748 0.1252 0.6252
0.8748 0.3748 0.1252

No. 10
NpAl11Ni (GGA-PBE, relaxed); volume = 215.50 Å³ per cell; E_form = -0.13 eV/atom; raw total energy = -61.6 eV for the cell shown; total magnetic moment = 0.310 μB/atom
1.0
2.5757 -6.2721 0.0000
2.5757 6.2721 0.0000
-2.3456 0.0000 6.6698
Np Al Ni
1 11 1
direct
0.0000 0.0000 0.0000
0.0000 0.0000 0.5000
0.0000 0.5000 0.0000
0.0096 0.3566 0.3568
0.2902 0.5018 0.7758
0.3566 0.0096 0.3568
0.4982 0.7098 0.2242
0.5000 0.0000 0.0000
0.5018 0.2902 0.7758
0.6434 0.9904 0.6432
0.7098 0.4982 0.2242
0.9904 0.6434 0.6432
0.5000 0.5000 0.5000

No. 11
NpAl8Ni4 (GGA-PBE, relaxed); volume = 188.65 Å³ per cell; E_form = -0.47 eV/atom; raw total energy = -72.2 eV for the cell shown; total magnetic moment = 0.331 μB/atom
1.0
-4.3176 4.3176 2.5300
4.3176 -4.3176 2.5300
4.3176 4.3176 -2.5300
Np Al Ni
1 8 4
direct
0.0000 0.0000 0.0000
0.0000 0.3431 0.3431
0.0000 0.6569 0.6569
0.2794 0.5000 0.7794
0.3431 0.0000 0.3431
0.5000 0.2794 0.7794
0.5000 0.7206 0.2206
0.6569 0.0000 0.6569
0.7206 0.5000 0.2206
0.0000 0.0000 0.5000
0.0000 0.5000 0.0000
0.5000 0.0000 0.0000
0.5000 0.5000 0.5000

No. 12
NpAlNi4 (GGA-PBE, relaxed); volume = 82.34 Å³ per cell; E_form = -0.25 eV/atom; raw total energy = -41.3 eV for the cell shown; total magnetic moment = 0.452 μB/atom
1.0
0.0000 3.4529 3.4529
3.4529 0.0000 3.4529
3.4529 3.4529 0.0000
Np Al Ni
1 1 4
direct
0.0000 0.0000 0.0000
0.2500 0.2500 0.2500
0.1281 0.6240 0.6240
0.6240 0.1281 0.6240
0.6240 0.6240 0.1281
0.6240 0.6240 0.6240